<A>
Here is a relaxed Ba2NdCd crystal from Alexandria. Energies are from PBE.

The space group is P4/mmm (No. 123) and the conventional cell measures 4.108, 4.108 and 10.075 Å, with angles of 90.00, 90.00 and 90.00 degrees. The distinct sites, in fractional coordinates, are Ba at (0.000, 0.000, 0.218), Nd at (0.500, 0.500, 0.500) and Cd at (0.500, 0.500, 0.000).

As for the volume: 170.0 Å³ per cell. Its crystal system is tetragonal.

***

<B>
Here is a relaxed Ba2NdCd crystal from Alexandria. Energies are from PBE.

The space group is R-3m (No. 166, hexagonal axes) and the conventional cell measures 3.9118, 3.9118 and 39.0430 Å, with angles of 90.00, 90.00 and 120.00 degrees. The distinct sites, in fractional coordinates, are Ba at (0.0000, 0.0000, 0.0956), Nd at (0.0000, 0.0000, 0.0000) and Cd at (0.0000, 0.0000, 0.5000).

As for the volume: 517.4 Å³ per cell. Its crystal system is trigonal.

***

Relative energies in meV per atom: <A> 0; <B> 224

***

<A>
Here is a relaxed BaCd4Ni crystal from Alexandria. Energies are from PBE.

The space group is F-43m (No. 216) and the conventional cell measures 8.414, 8.414 and 8.414 Å, with angles of 90.00, 90.00 and 90.00 degrees. The distinct sites, in fractional coordinates, are Ba at (0.000, 0.000, 0.000), Cd at (0.123, 0.123, 0.623) and Ni at (0.250, 0.250, 0.250).

As for the volume: 595.7 Å³ per cell. Its crystal system is cubic.

***

<B>
Here is a relaxed BaCd4Ni crystal from Alexandria. Energies are from PBE.

The space group is P4/mmm (No. 123) and the conventional cell measures 5.000, 5.000 and 7.643 Å, with angles of 90.00, 90.00 and 90.00 degrees. The distinct sites, in fractional coordinates, are Ba at (0.000, 0.000, 0.000), Cd at (0.000, 0.500, 0.500), Cd at (0.500, 0.500, 0.181) and Ni at (0.500, 0.500, 0.500).

As for the volume: 191.1 Å³ per cell. Its crystal system is tetragonal.

***

Relative energies in meV per atom: <A> 105; <B> 0

***

<A>
Here is a relaxed BaCd3Ni crystal from Alexandria. Energies are from PBE.

The space group is Pm-3m (No. 221) and the conventional cell measures 6.655, 6.655 and 6.655 Å, with angles of 90.00, 90.00 and 90.00 degrees. The distinct sites, in fractional coordinates, are Ba at (0.000, 0.000, 0.000), Cd at (0.000, 0.000, 0.500) and Ni at (0.500, 0.500, 0.500).

As for the volume: 294.7 Å³ per cell. Its crystal system is cubic.

***

<B>
Here is a relaxed BaCd3Ni crystal from Alexandria. Energies are from PBE.

The space group is Pm-3m (No. 221) and the conventional cell measures 5.127, 5.127 and 5.127 Å, with angles of 90.00, 90.00 and 90.00 degrees. The distinct sites, in fractional coordinates, are Ba at (0.000, 0.000, 0.000), Cd at (0.000, 0.500, 0.500) and Ni at (0.500, 0.500, 0.500).

As for the volume: 134.8 Å³ per cell. Its crystal system is cubic.

***

Relative energies in meV per atom: <A> 1437; <B> 0

***

<A>
Here is a relaxed Ba2CdSiNi crystal from Alexandria. Energies are from PBE.

The space group is P4/mmm (No. 123) and the conventional cell measures 6.076, 6.076 and 4.405 Å, with angles of 90.00, 90.00 and 90.00 degrees. The distinct sites, in fractional coordinates, are Ba at (0.000, 0.500, 0.000), Cd at (0.000, 0.000, 0.500), Si at (0.500, 0.500, 0.500) and Ni at (0.500, 0.500, 0.000).

As for the volume: 162.6 Å³ per cell. Its crystal system is tetragonal.

***

<B>
Here is a relaxed Ba2CdSiNi crystal from Alexandria. Energies are from PBE.

The space group is P4/mmm (No. 123) and the conventional cell measures 6.369, 6.369 and 4.698 Å, with angles of 90.00, 90.00 and 90.00 degrees. The distinct sites, in fractional coordinates, are Ba at (0.000, 0.500, 0.000), Cd at (0.000, 0.000, 0.000), Si at (0.500, 0.500, 0.500) and Ni at (0.000, 0.000, 0.500).

As for the volume: 190.6 Å³ per cell. Its crystal system is tetragonal.

***

Relative energies in meV per atom: <A> 0; <B> 727